(1)
# Sr2Ga12Pt7

Sr2Ga12Pt7 after structural relaxation (GGA-PBE, Alexandria).

Output
- Spin magnetization: 0.00 μB/f.u.
- Crystal system: hexagonal
- Total energy: -96.7 eV for the cell shown
- DFT formation energy: -702 meV/atom

Lattice parameters (Å, degrees): 4.1801 10.2284 10.2284 120.00 90.00 90.00
Closest atoms and distances in Å follow each position.
Element x y z (fractional)
Sr 0.5000 0.0000 0.0000  6 Ga 3.23, 6 Pt 3.48
Sr 0.0000 0.6667 0.3333  6 Pt 3.26, 12 Ga 3.31-3.56
Ga 0.5000 0.9236 0.6119  4 Pt 2.56-2.71, 2 Ga 2.84
Ga 0.5000 0.6882 0.0764  4 Pt 2.56-2.71, 2 Ga 2.84
Ga 0.5000 0.3881 0.3118  4 Pt 2.56-2.71, 2 Ga 2.84
Ga 0.5000 0.2497 0.7940  5 Pt 2.59-2.81, 1 Ga 2.89
Ga 0.5000 0.5443 0.7503  5 Pt 2.59-2.81, 1 Ga 2.89
Ga 0.5000 0.2060 0.4557  5 Pt 2.59-2.81, 1 Ga 2.89
Ga 0.0000 0.0400 0.5107  4 Pt 2.58-2.60, 3 Ga 2.84-2.86
Ga 0.0000 0.4707 0.9600  4 Pt 2.58-2.60, 3 Ga 2.84-2.86
Ga 0.0000 0.4893 0.5293  4 Pt 2.58-2.60, 3 Ga 2.84-2.86
Ga 0.0000 0.8084 0.7296  4 Pt 2.62-2.65, 1 Ga 2.86
Ga 0.0000 0.9213 0.1916  4 Pt 2.62-2.65, 1 Ga 2.86
Ga 0.0000 0.2704 0.0787  4 Pt 2.62-2.65, 1 Ga 2.86
Pt 0.0000 0.3333 0.6667  9 Ga 2.60-2.81
Pt 0.0000 0.0872 0.7827  7 Ga 2.58-2.70
Pt 0.0000 0.6955 0.9128  7 Ga 2.58-2.70
Pt 0.0000 0.2173 0.3045  7 Ga 2.58-2.70
Pt 0.5000 0.6566 0.5732  7 Ga 2.56-2.71
Pt 0.5000 0.9166 0.3434  7 Ga 2.56-2.71
Pt 0.5000 0.4268 0.0834  7 Ga 2.56-2.71

(2)
# SrGa4Pt4

SrGa4Pt4 after structural relaxation (GGA-PBE, Alexandria).

Output
- Spin magnetization: 0.00 μB/f.u.
- Crystal system: tetragonal
- Total energy: -88.0 eV for the cell shown
- DFT formation energy: -675 meV/atom

Lattice parameters (Å, degrees): 4.7844 8.6474 8.6474 90.00 90.00 90.00
Closest atoms and distances in Å follow each position.
Element x y z (fractional)
Sr 0.0000 0.0000 0.0000  4 Pt 3.40, 12 Ga 3.46-3.75
Sr 0.5000 0.5000 0.5000  4 Pt 3.40, 12 Ga 3.46-3.75
Ga 0.5000 0.8428 0.2944  5 Pt 2.48-2.76
Ga 0.5000 0.1572 0.7056  5 Pt 2.48-2.76
Ga 0.0000 0.7944 0.6572  5 Pt 2.48-2.76
Ga 0.0000 0.3428 0.7944  5 Pt 2.48-2.76
Ga 0.0000 0.6572 0.2056  5 Pt 2.48-2.76
Ga 0.5000 0.2944 0.1572  5 Pt 2.48-2.76
Ga 0.5000 0.7056 0.8428  5 Pt 2.48-2.76
Ga 0.0000 0.2056 0.3428  5 Pt 2.48-2.76
Pt 0.5000 0.3880 0.8767  5 Ga 2.48-2.76
Pt 0.0000 0.6233 0.8880  5 Ga 2.48-2.76
Pt 0.5000 0.6120 0.1233  5 Ga 2.48-2.76
Pt 0.0000 0.1120 0.6233  5 Ga 2.48-2.76
Pt 0.5000 0.8767 0.6120  5 Ga 2.48-2.76
Pt 0.0000 0.8880 0.3767  5 Ga 2.48-2.76
Pt 0.0000 0.3767 0.1120  5 Ga 2.48-2.76
Pt 0.5000 0.1233 0.3880  5 Ga 2.48-2.76

(3)
# SrGa6Pt4

SrGa6Pt4 after structural relaxation (GGA-PBE, Alexandria).

Output
- Spin magnetization: 0.00 μB/f.u.
- Crystal system: hexagonal
- Total energy: -52.0 eV for the cell shown
- DFT formation energy: -728 meV/atom

Lattice parameters (Å, degrees): 4.1219 7.4253 7.4253 120.00 90.00 90.00
Closest atoms and distances in Å follow each position.
Element x y z (fractional)
Sr 0.0000 0.0000 0.0000  6 Ga 3.27, 6 Pt 3.33
Ga 0.0000 0.5344 0.0689  5 Pt 2.59-2.66
Ga 0.5000 0.6053 0.8027  4 Pt 2.58-2.70
Ga 0.0000 0.5344 0.4656  5 Pt 2.59-2.66
Ga 0.0000 0.9311 0.4656  5 Pt 2.59-2.66
Ga 0.5000 0.1973 0.8027  4 Pt 2.58-2.70
Ga 0.5000 0.1973 0.3947  4 Pt 2.58-2.70
Pt 0.5000 0.7963 0.5925  6 Ga 2.58-2.66, 2 Pt 2.89
Pt 0.5000 0.4075 0.2037  6 Ga 2.58-2.66, 2 Pt 2.89
Pt 0.5000 0.7963 0.2037  6 Ga 2.58-2.66, 2 Pt 2.89
Pt 0.0000 0.3333 0.6667  9 Ga 2.59-2.70